# Ca2SbMo, optimized geometry, DFT GGA-PBE
data_Ca2SbMo
_cell_length_a 3.183
_cell_length_b 3.183
_cell_length_c 9.669
_cell_angle_alpha 90.00
_cell_angle_beta 90.00
_cell_angle_gamma 90.00
_space_group_name_H-M_alt 'P 4/m m m'
_space_group_IT_number 123
_space_group_name_Hall '-P 4 2'
loop_
_atom_site_label
_atom_site_fract_x
_atom_site_fract_y
_atom_site_fract_z
Ca1 0.000 0.000 0.240
Sb1 0.500 0.500 0.500
Mo1 0.500 0.500 0.000
# Electronic total energy, eV per atom: -4.558
# Size of the total moment, μB/f.u.: 0.00